Record 1
A plane-wave DFT calculation with meta-GGA SCAN was carried out for a crystal of Zr3BiPd relaxed with PBEsol.

Lattice parameters (Å, degrees): 5.2731 5.2731 5.2731 90.00 90.00 90.00
Space group Pm-3m (No. 221)
One atom of each set of equivalent atoms:
Zr1 0.0000 0.0000 0.5000 [3 per cell]
Bi1 0.0000 0.0000 0.0000 [1 per cell]
Pd1 0.5000 0.5000 0.5000 [1 per cell]

calculated volume = 147 Å³/cell
calculated density = 6.7 g cm⁻³
calculated formation energy = 571 kJ/mol of formula units



Record 2
A plane-wave DFT calculation with meta-GGA SCAN was carried out for a crystal of AlAgIr relaxed with PBEsol.

Lattice parameters (Å, degrees): 5.9754 5.9754 5.9754 90.00 90.00 90.00
Space group F-43m (No. 216)
One atom of each set of equivalent atoms:
Al1 0.0000 0.0000 0.0000 [4 per cell]
Ag1 0.0000 0.0000 0.5000 [4 per cell]
Ir1 0.2500 0.2500 0.7500 [4 per cell]

calculated volume = 213 Å³/cell
calculated density = 10.2 g cm⁻³
calculated formation energy = 5 kJ/mol of formula units



Record 3
A plane-wave DFT calculation with meta-GGA SCAN was carried out for a crystal of Li3Al relaxed with PBEsol.

Lattice parameters (Å, degrees): 4.9135 9.4825 5.7162 90.00 90.00 90.00
Space group Pnma (No. 62)
One atom of each set of equivalent atoms:
Li1 0.0755 0.2500 0.1258 [4 per cell]
Li2 0.2367 0.5088 0.3763 [8 per cell]
Al1 0.0878 0.2500 0.6267 [4 per cell]

calculated volume = 266 Å³/cell
calculated density = 1.2 g cm⁻³
calculated formation energy = -34 kJ/mol of formula units



Record 4
A plane-wave DFT calculation with meta-GGA SCAN was carried out for a crystal of Al2O3 relaxed with PBEsol.

Lattice parameters (Å, degrees): 8.9094 8.9094 8.9094 90.00 90.00 90.00
Space group Ia-3 (No. 206)
One atom of each set of equivalent atoms:
Al1 0.0000 0.2500 0.4624 [24 per cell]
Al2 0.2500 0.2500 0.2500 [8 per cell]
O1 0.1105 0.1594 0.6143 [48 per cell]

calculated volume = 707 Å³/cell
calculated density = 3.8 g cm⁻³
energy relative to the elements, uncorrected = -3328 meV/atom



Record 5
A plane-wave DFT calculation with meta-GGA SCAN was carried out for a crystal of MgCdPb2 relaxed with PBEsol.

Lattice parameters (Å, degrees): 7.4476 7.4476 7.4476 90.00 90.00 90.00
Space group Fm-3m (No. 225)
One atom of each set of equivalent atoms:
Mg1 0.0000 0.0000 0.0000 [4 per cell]
Cd1 0.0000 0.0000 0.5000 [4 per cell]
Pb1 0.2500 0.2500 0.2500 [8 per cell]

calculated volume = 413 Å³/cell
calculated density = 8.9 g cm⁻³
energy above the lowest structure with this stoichiometry = 58 meV per atom
calculated formation energy = 1 kJ/mol of formula units



Record 6
A plane-wave DFT calculation with meta-GGA SCAN was carried out for a crystal of ZnCrTe relaxed with PBEsol.

Lattice parameters (Å, degrees): 3.3296 3.3296 8.4530 90.00 90.00 90.00
Space group I4mm (No. 107)
One atom of each set of equivalent atoms:
Zn1 0.0000 0.0000 0.0000 [2 per cell]
Cr1 0.0000 0.0000 0.6634 [2 per cell]
Te1 0.0000 0.0000 0.3152 [2 per cell]

calculated volume = 94 Å³/cell
calculated density = 8.7 g cm⁻³
energy relative to the elements, uncorrected = 350 meV/atom



Record 7
A plane-wave DFT calculation with meta-GGA SCAN was carried out for a crystal of Mg2CdAg2 relaxed with PBEsol.

Lattice parameters (Å, degrees): 7.5900 7.5900 3.2845 90.00 90.00 90.00
Space group P4/mbm (No. 127)
One atom of each set of equivalent atoms:
Mg1 0.1618 0.3382 0.0000 [4 per cell]
Cd1 0.0000 0.0000 0.5000 [2 per cell]
Ag1 0.1347 0.6347 0.5000 [4 per cell]

calculated volume = 189 Å³/cell
calculated density = 6.6 g cm⁻³
calculated formation energy = -93 kJ/mol of formula units



Record 8
A plane-wave DFT calculation with meta-GGA SCAN was carried out for a crystal of MoRu3 relaxed with PBEsol.

Lattice parameters (Å, degrees): 3.7949 3.7949 7.6651 90.00 90.00 90.00
Space group I4/mmm (No. 139)
One atom of each set of equivalent atoms:
Mo1 0.0000 0.0000 0.0000 [2 per cell]
Ru1 0.0000 0.0000 0.5000 [2 per cell]
Ru2 0.0000 0.5000 0.2500 [4 per cell]

calculated volume = 110 Å³/cell
calculated density = 12.0 g cm⁻³
energy above the lowest structure with this stoichiometry = 99 meV per atom
calculated formation energy = 17 kJ/mol of formula units



Record 9
A plane-wave DFT calculation with meta-GGA SCAN was carried out for a crystal of BaRe2Br relaxed with PBEsol.

Lattice parameters (Å, degrees): 2.9772 4.8926 11.2986 90.00 90.00 90.00
Space group Immm (No. 71)
One atom of each set of equivalent atoms:
Ba1 0.0000 0.0000 0.0000 [2 per cell]
Re1 0.0000 0.5000 0.2294 [4 per cell]
Br1 0.0000 0.0000 0.5000 [2 per cell]

calculated volume = 165 Å³/cell
calculated density = 11.9 g cm⁻³
energy above the lowest structure with this stoichiometry = 955 meV per atom
energy relative to the elements, uncorrected = 1180 meV/atom



Record 10
A plane-wave DFT calculation with meta-GGA SCAN was carried out for a crystal of FeNiRu2 relaxed with PBEsol.

Lattice parameters (Å, degrees): 2.6211 3.6320 5.1027 90.00 90.00 90.00
Space group Pmm2 (No. 25)
One atom of each set of equivalent atoms:
Fe1 0.0000 0.0000 0.0000 [1 per cell]
Ni1 0.5000 0.5000 0.2273 [1 per cell]
Ru1 0.0000 0.0000 0.4860 [1 per cell]
Ru2 0.5000 0.5000 0.7337 [1 per cell]

calculated volume = 49 Å³/cell
calculated density = 10.8 g cm⁻³
calculated formation energy = 27 kJ/mol of formula units



Record 11
A plane-wave DFT calculation with meta-GGA SCAN was carried out for a crystal of Sc2TlMo relaxed with PBEsol.

Lattice parameters (Å, degrees): 3.6148 3.6148 6.1022 90.00 90.00 90.00
Space group P4mm (No. 99)
One atom of each set of equivalent atoms:
Sc1 0.0000 0.0000 0.0000 [1 per cell]
Sc2 0.5000 0.5000 0.2833 [1 per cell]
Tl1 0.0000 0.0000 0.5377 [1 per cell]
Mo1 0.5000 0.5000 0.8087 [1 per cell]

calculated volume = 80 Å³/cell
calculated density = 8.1 g cm⁻³
energy above the lowest structure with this stoichiometry = 0 meV per atom
calculated formation energy = 37 kJ/mol of formula units



Record 12
A plane-wave DFT calculation with meta-GGA SCAN was carried out for a crystal of EuTlPS4 relaxed with PBEsol.

Lattice parameters (Å, degrees): 11.9742 6.4463 8.5322 90.00 90.00 90.00
Space group Pnma (No. 62)
One atom of each set of equivalent atoms:
Eu1 0.1407 0.2500 0.1086 [4 per cell]
Tl1 0.1038 0.2500 0.6272 [4 per cell]
P1 0.1515 0.7500 0.8763 [4 per cell]
S1 0.0510 0.7500 0.6834 [4 per cell]
S2 0.0639 0.7500 0.0825 [4 per cell]
S3 0.2444 0.5033 0.3665 [8 per cell]

calculated volume = 659 Å³/cell
calculated density = 5.2 g cm⁻³
energy relative to the elements, uncorrected = -1049 meV/atom



Record 13
A plane-wave DFT calculation with meta-GGA SCAN was carried out for a crystal of Cu2TcSnP relaxed with PBEsol.

Lattice parameters (Å, degrees): 4.7034 4.7034 4.3852 90.00 90.00 90.00
Space group P4/mmm (No. 123)
One atom of each set of equivalent atoms:
Cu1 0.0000 0.5000 0.0000 [2 per cell]
Tc1 0.0000 0.0000 0.0000 [1 per cell]
Sn1 0.5000 0.5000 0.5000 [1 per cell]
P1 0.0000 0.0000 0.5000 [1 per cell]

calculated volume = 97 Å³/cell
calculated density = 6.4 g cm⁻³
calculated formation energy = 351 kJ/mol of formula units



Record 14
A plane-wave DFT calculation with meta-GGA SCAN was carried out for a crystal of Sc2HRu relaxed with PBEsol.

Lattice parameters (Å, degrees): 6.1982 6.1982 6.1982 90.00 90.00 90.00
Space group Fm-3m (No. 225)
One atom of each set of equivalent atoms:
Sc1 0.2500 0.2500 0.2500 [8 per cell]
H1 0.0000 0.0000 0.0000 [4 per cell]
Ru1 0.0000 0.0000 0.5000 [4 per cell]

calculated volume = 238 Å³/cell
calculated density = 5.4 g cm⁻³
VASP energy = -16.82 eV per atom



Record 15
A plane-wave DFT calculation with meta-GGA SCAN was carried out for a crystal of CrCd2Ag relaxed with PBEsol.

Lattice parameters (Å, degrees): 9.7080 3.0908 4.8997 90.00 103.34 90.00
Space group Cm (No. 8)
One atom of each set of equivalent atoms:
Cr1 0.0000 0.0000 0.0000 [2 per cell]
Cd1 0.2522 0.0000 0.7635 [2 per cell]
Cd2 0.4933 0.0000 0.4916 [2 per cell]
Ag1 0.2416 0.5000 0.2471 [2 per cell]

calculated volume = 143 Å³/cell
calculated density = 8.9 g cm⁻³
calculated formation energy = 41 kJ/mol of formula units



Record 16
A plane-wave DFT calculation with meta-GGA SCAN was carried out for a crystal of AgAu2 relaxed with PBEsol.

Lattice parameters (Å, degrees): 10.7359 2.8516 6.8474 90.00 106.14 90.00
Space group Cm (No. 8)
One atom of each set of equivalent atoms:
Ag1 0.0000 0.0000 0.0000 [2 per cell]
Ag2 0.1659 0.5000 0.3320 [2 per cell]
Au1 0.0546 0.0000 0.6101 [2 per cell]
Au2 0.2212 0.5000 0.9461 [2 per cell]
Au3 0.3319 0.0000 0.6662 [2 per cell]
Au4 0.3892 0.0000 0.2766 [2 per cell]

calculated volume = 201 Å³/cell
calculated density = 16.6 g cm⁻³
energy above the lowest structure with this stoichiometry = 24 meV per atom
calculated formation energy = -15 kJ/mol of formula units



Record 17
A plane-wave DFT calculation with meta-GGA SCAN was carried out for a crystal of AlAs2Pb relaxed with PBEsol.

Lattice parameters (Å, degrees): 5.1825 5.1825 3.1685 90.00 90.00 90.00
Space group P4/mmm (No. 123)
One atom of each set of equivalent atoms:
Al1 0.0000 0.0000 0.0000 [1 per cell]
As1 0.0000 0.5000 0.5000 [2 per cell]
Pb1 0.5000 0.5000 0.0000 [1 per cell]

calculated volume = 85 Å³/cell
calculated density = 7.5 g cm⁻³
energy above the lowest structure with this stoichiometry = 489 meV per atom
calculated formation energy = 129 kJ/mol of formula units



Record 18
A plane-wave DFT calculation with meta-GGA SCAN was carried out for a crystal of Cr2Os2W relaxed with PBEsol.

Lattice parameters (Å, degrees): 3.8368 3.8368 9.7268 90.00 90.00 90.00
Space group I4/mmm (No. 139)
One atom of each set of equivalent atoms:
Cr1 0.0000 0.0000 0.1014 [4 per cell]
Os1 0.0000 0.5000 0.2500 [4 per cell]
W1 0.0000 0.0000 0.5000 [2 per cell]

calculated volume = 143 Å³/cell
calculated density = 15.5 g cm⁻³
calculated formation energy = 287 kJ/mol of formula units



Record 19
A plane-wave DFT calculation with meta-GGA SCAN was carried out for a crystal of CuSeBr2Cl relaxed with PBEsol.

Lattice parameters (Å, degrees): 4.7628 4.7628 4.9103 90.00 90.00 90.00
Space group P4/mmm (No. 123)
One atom of each set of equivalent atoms:
Cu1 0.0000 0.0000 0.0000 [1 per cell]
Se1 0.0000 0.0000 0.5000 [1 per cell]
Br1 0.0000 0.5000 0.0000 [2 per cell]
Cl1 0.5000 0.5000 0.5000 [1 per cell]

calculated volume = 111 Å³/cell
calculated density = 5.0 g cm⁻³
energy relative to the elements, uncorrected = 323 meV/atom



Record 20
A plane-wave DFT calculation with meta-GGA SCAN was carried out for a crystal of CaYGe3 relaxed with PBEsol.

Lattice parameters (Å, degrees): 5.2585 5.2585 5.2585 90.00 90.00 90.00
Space group Pm-3m (No. 221)
One atom of each set of equivalent atoms:
Ca1 0.0000 0.0000 0.0000 [1 per cell]
Y1 0.5000 0.5000 0.5000 [1 per cell]
Ge1 0.0000 0.5000 0.5000 [3 per cell]

calculated volume = 145 Å³/cell
calculated density = 4.0 g cm⁻³
energy above the lowest structure with this stoichiometry = 0 meV per atom
calculated formation energy = 83 kJ/mol of formula units



Record 21
A plane-wave DFT calculation with meta-GGA SCAN was carried out for a crystal of LiV2P2O8 relaxed with PBEsol.

Lattice parameters (Å, degrees): 6.2661 4.8125 8.9098 90.00 90.00 90.00
Space group Pmc2_1 (No. 26)
One atom of each set of equivalent atoms:
Li1 0.0000 0.2307 0.0000 [2 per cell]
V1 0.2567 0.2501 0.6663 [4 per cell]
P1 0.0000 0.2735 0.3421 [2 per cell]
P2 0.5000 0.2380 0.9888 [2 per cell]
O1 0.0000 0.0424 0.7937 [2 per cell]
O2 0.0000 0.3117 0.5195 [2 per cell]
O3 0.2019 0.4131 0.2866 [4 per cell]
O4 0.2943 0.0973 0.0438 [4 per cell]
O5 0.5000 0.2016 0.8141 [2 per cell]
O6 0.5000 0.4546 0.5467 [2 per cell]

calculated volume = 269 Å³/cell
calculated density = 3.7 g cm⁻³
energy above the lowest structure with this stoichiometry = 13 meV per atom
energy relative to the elements, uncorrected = -2564 meV/atom



Record 22
A plane-wave DFT calculation with meta-GGA SCAN was carried out for a crystal of ZnSi2Br relaxed with PBEsol.

Lattice parameters (Å, degrees): 3.9437 3.9437 17.8438 90.00 90.00 120.00
Space group R-3m (No. 166, hexagonal axes)
One atom of each set of equivalent atoms:
Zn1 0.0000 0.0000 0.0000 [3 per cell]
Si1 0.0000 0.0000 0.2828 [6 per cell]
Br1 0.0000 0.0000 0.5000 [3 per cell]

calculated volume = 240 Å³/cell
calculated density = 4.2 g cm⁻³
energy above the lowest structure with this stoichiometry = 364 meV per atom
energy relative to the elements, uncorrected = 459 meV/atom



Record 23
A plane-wave DFT calculation with meta-GGA SCAN was carried out for a crystal of Li2LaIr relaxed with PBEsol.

Lattice parameters (Å, degrees): 4.0264 4.0264 8.8539 90.00 90.00 90.00
Space group I4/mmm (No. 139)
One atom of each set of equivalent atoms:
Li1 0.0000 0.5000 0.2500 [4 per cell]
La1 0.0000 0.0000 0.0000 [2 per cell]
Ir1 0.0000 0.0000 0.5000 [2 per cell]

calculated volume = 144 Å³/cell
calculated density = 8.0 g cm⁻³
energy above the lowest structure with this stoichiometry = 0 meV per atom
calculated formation energy = -154 kJ/mol of formula units



Record 24
A plane-wave DFT calculation with meta-GGA SCAN was carried out for a crystal of Zr2Sn2Os relaxed with PBEsol.

Lattice parameters (Å, degrees): 3.8348 3.8348 14.2859 90.00 90.00 90.00
Space group I4/mmm (No. 139)
One atom of each set of equivalent atoms:
Zr1 0.0000 0.5000 0.2500 [4 per cell]
Sn1 0.0000 0.0000 0.0916 [4 per cell]
Os1 0.0000 0.0000 0.5000 [2 per cell]

calculated volume = 210 Å³/cell
calculated density = 9.6 g cm⁻³
calculated formation energy = 376 kJ/mol of formula units